[1]
Density functional theory data (GGA-PBE) for a geometry-optimized ZrCrIr2 structure.

a b c (Å): 4.1606 4.1606 3.6995
angles (deg): 90.00 90.00 90.00
With the nearest neighbours (Å) after each atom.
Atoms (fractional coordinates):
Zr1 0.5000 0.0000 0.5000  8 Ir 2.78, 4 Cr 2.94
Ir1 0.0000 0.0000 0.0000  4 Cr 2.78, 4 Zr 2.78, 4 Ir 2.94
Ir2 0.5000 0.5000 0.0000  4 Zr 2.78, 4 Cr 2.78, 4 Ir 2.94
Cr1 0.0000 0.5000 0.5000  8 Ir 2.78, 4 Zr 2.94

Results
Energy of formation: -46.9 kJ per mole of atoms
Relative energy among the computed polymorphs: 0 meV/atom

---

[2]
Density functional theory data (GGA-PBE) for a geometry-optimized NpAlGaGe structure.

a b c (Å): 4.1168 4.2019 4.4267
angles (deg): 90.00 90.00 90.00
With the nearest neighbours (Å) after each atom.
Atoms (fractional coordinates):
Ga1 0.0000 0.5000 0.5000  4 Al 2.94, 4 Np 3.02, 4 Ge 3.05
Al1 0.5000 0.0000 0.5000  4 Ga 2.94, 4 Ge 3.02, 4 Np 3.05
Ge1 0.0000 0.0000 0.0000  4 Np 2.94, 4 Al 3.02, 4 Ga 3.05
Np1 0.5000 0.5000 0.0000  4 Ge 2.94, 4 Ga 3.02, 4 Al 3.05

Results
Energy of formation: -20.9 kJ per mole of atoms
Relative energy among the computed polymorphs: 0 meV/atom

---

[3]
Density functional theory data (GGA-PBE) for a geometry-optimized Cu2Mo structure.

a b c (Å): 5.8412 5.8412 5.8412
angles (deg): 90.00 90.00 90.00
With the nearest neighbours (Å) after each atom.
Atoms (fractional coordinates):
Cu1 0.8833 0.1167 0.6167  1 Cu 2.36, 3 Mo 2.44
Cu2 0.3833 0.1167 0.8833  1 Cu 2.36, 3 Mo 2.44
Cu3 0.3833 0.3833 0.3833  1 Cu 2.36, 3 Mo 2.44
Cu4 0.8833 0.3833 0.1167  1 Cu 2.36, 3 Mo 2.44
Cu5 0.1167 0.8833 0.3833  1 Cu 2.36, 3 Mo 2.44
Cu6 0.6167 0.8833 0.1167  1 Cu 2.36, 3 Mo 2.44
Cu7 0.1167 0.6167 0.8833  1 Cu 2.36, 3 Mo 2.44
Cu8 0.6167 0.6167 0.6167  1 Cu 2.36, 3 Mo 2.44
Mo1 0.5000 0.0000 0.5000  6 Cu 2.44
Mo2 0.5000 0.5000 0.0000  6 Cu 2.44
Mo3 0.0000 0.0000 0.0000  6 Cu 2.44
Mo4 0.0000 0.5000 0.5000  6 Cu 2.44

Results
Energy of formation: 128.9 kJ per mole of atoms

---

[4]
Density functional theory data (GGA-PBE) for a geometry-optimized LiZn2Rh structure.

a b c (Å): 4.6693 4.6693 4.6693
angles (deg): 132.51 132.51 69.42
With the nearest neighbours (Å) after each atom.
Atoms (fractional coordinates):
Rh1 0.7500 0.2500 0.5000  8 Zn 2.66-2.69, 4 Li 2.69
Zn1 0.2500 0.7500 0.5000  4 Rh 2.66, 4 Zn 2.69, 4 Li 2.69
Zn2 0.0000 0.0000 0.0000  4 Li 2.66, 4 Rh 2.69, 4 Zn 2.69
Li1 0.5000 0.5000 0.0000  8 Zn 2.66-2.69, 4 Rh 2.69

Results
Energy of formation: -32.8 kJ per mole of atoms
Relative energy among the computed polymorphs: 71 meV/atom

---

[5]
Density functional theory data (GGA-PBE) for a geometry-optimized Li3Pr5Te8 structure.

a b c (Å): 8.9476 8.9476 8.9163
angles (deg): 59.88 59.88 60.00
With the nearest neighbours (Å) after each atom.
Atoms (fractional coordinates):
Te1 0.7499 0.2381 0.2620  2 Li 3.08, 4 Pr 3.16-3.23
Te2 0.2381 0.7499 0.2620  2 Li 3.08, 4 Pr 3.16-3.23
Te3 0.2455 0.2455 0.2636  3 Li 3.10, 3 Pr 3.22
Te4 0.7619 0.2501 0.7380  2 Li 3.08, 4 Pr 3.16-3.23
Te5 0.2501 0.2501 0.7380  2 Li 3.08, 4 Pr 3.16-3.23
Te6 0.2501 0.7619 0.7380  2 Li 3.08, 4 Pr 3.16-3.23
Te7 0.7545 0.7545 0.7364  3 Li 3.10, 3 Pr 3.22
Te8 0.7499 0.7499 0.2620  2 Li 3.08, 4 Pr 3.16-3.23
Pr1 0.5000 0.5000 0.5000  6 Te 3.16
Pr2 0.5000 0.5000 0.0000  6 Te 3.22-3.23
Pr3 0.0000 0.0000 0.0000  6 Te 3.16
Pr4 0.0000 0.5000 0.0000  6 Te 3.22-3.23
Pr5 0.5000 0.0000 0.0000  6 Te 3.22-3.23
Li1 0.0000 0.5000 0.5000  6 Te 3.08-3.10
Li2 0.0000 0.0000 0.5000  6 Te 3.08-3.10
Li3 0.5000 0.0000 0.5000  6 Te 3.08-3.10

Results
Total energy: -76.31 eV per formula unit

---

[6]
Density functional theory data (GGA-PBE) for a geometry-optimized Nd2Th3Tc2 structure.

a b c (Å): 3.9883 9.5431 6.4831
angles (deg): 61.95 72.06 90.01
With the nearest neighbours (Å) after each atom.
Atoms (fractional coordinates):
Nd1 0.6091 0.3954 0.7839  1 Tc 3.06
Nd2 0.3909 0.6046 0.2161  1 Tc 3.06
Th1 0.0000 0.0000 0.0000  4 Tc 2.92-2.93
Th2 0.1712 0.7524 0.6582  3 Tc 2.74-2.81
Th3 0.8288 0.2476 0.3418  3 Tc 2.74-2.81
Tc1 0.3630 0.0753 0.2743  5 Th 2.74-2.93, 1 Nd 3.06
Tc2 0.6370 0.9247 0.7257  5 Th 2.74-2.93, 1 Nd 3.06

Results
Energy of formation: 3.1 kJ per mole of atoms

---

[7]
Density functional theory data (GGA-PBE) for a geometry-optimized V2AsCl structure.

a b c (Å): 4.3519 4.3519 4.3519
angles (deg): 60.00 60.00 60.00
With the nearest neighbours (Å) after each atom.
Atoms (fractional coordinates):
As1 0.5000 0.5000 0.5000  8 V 2.67
V1 0.7500 0.7500 0.7500  4 Cl 2.67, 4 As 2.67
V2 0.2500 0.2500 0.2500  4 As 2.67, 4 Cl 2.67
Cl1 0.0000 0.0000 0.0000  8 V 2.67

Results
Relative energy among the computed polymorphs: 0 meV/atom

---

[8]
Density functional theory data (GGA-PBE) for a geometry-optimized Y7Te2Pt2 structure.

a b c (Å): 3.9605 9.4685 9.4685
angles (deg): 61.61 77.93 77.93
With the nearest neighbours (Å) after each atom.
Atoms (fractional coordinates):
Y1 0.1842 0.7144 0.9172  3 Pt 2.89-3.17, 1 Te 3.20
Y2 0.8158 0.0828 0.2856  3 Pt 2.89-3.17, 1 Te 3.20
Y3 0.8574 0.3969 0.8883  2 Pt 2.92, 2 Te 3.16
Y4 0.6281 0.4779 0.2660  2 Pt 2.89, 3 Te 3.13-3.21
Y5 0.3719 0.7340 0.5221  2 Pt 2.89, 3 Te 3.13-3.21
Y6 0.5000 0.0213 0.9787  3 Te 3.20-3.28
Y7 0.1426 0.1117 0.6031  2 Pt 2.92, 2 Te 3.16
Te1 0.5000 0.3591 0.6409  7 Y 3.13-3.28
Te2 0.0000 0.7615 0.2385  8 Y 3.20-3.21
Pt1 0.7384 0.8587 0.6645  7 Y 2.89-3.17
Pt2 0.2616 0.3355 0.1413  7 Y 2.89-3.17

Results
Total energy: -75.01 eV per formula unit

---

[9]
Density functional theory data (GGA-PBE) for a geometry-optimized CaTc2W structure.

a b c (Å): 2.8253 2.8253 9.2776
angles (deg): 90.00 90.00 110.09
With the nearest neighbours (Å) after each atom.
Atoms (fractional coordinates):
Tc1 0.0000 0.0000 0.4734  2 W 2.63, 4 Tc 2.83
Tc2 0.0000 0.0000 0.0266  2 W 2.63, 4 Tc 2.83
Ca1 0.5000 0.5000 0.7500  4 Ca 2.83, 4 Tc 3.03
W1 0.5000 0.5000 0.2500  4 Tc 2.63, 4 W 2.83

Results
Energy of formation: 42.6 kJ per mole of atoms
Relative energy among the computed polymorphs: 142 meV/atom

---

[10]
Density functional theory data (GGA-PBE) for a geometry-optimized CaEuRh structure.

a b c (Å): 3.5338 3.5338 7.1350
angles (deg): 104.34 104.34 90.00
With the nearest neighbours (Å) after each atom.
Atoms (fractional coordinates):
Rh1 0.6659 0.6659 0.3318  4 Ca 3.00, 4 Eu 3.02
Eu1 0.2924 0.2924 0.5847  4 Rh 3.02, 1 Ca 3.35
Ca1 0.0417 0.0417 0.0835  4 Rh 3.00, 1 Eu 3.35

Results
Energy of formation: -29.8 kJ per mole of atoms
Relative energy among the computed polymorphs: 0 meV/atom

---

[11]
Density functional theory data (GGA-PBE) for a geometry-optimized RbTa2Fe structure.

a b c (Å): 4.6632 4.6632 4.6632
angles (deg): 60.00 60.00 60.00
With the nearest neighbours (Å) after each atom.
Atoms (fractional coordinates):
Rb1 0.5000 0.5000 0.5000  8 Ta 2.86
Ta1 0.2500 0.2500 0.2500  4 Fe 2.86, 4 Rb 2.86
Ta2 0.7500 0.7500 0.7500  4 Rb 2.86, 4 Fe 2.86
Fe1 0.0000 0.0000 0.0000  8 Ta 2.86

Results
Energy of formation: 166.0 kJ per mole of atoms
Relative energy among the computed polymorphs: 0 meV/atom

---

[12]
Density functional theory data (GGA-PBE) for a geometry-optimized Li2Cd5F12 structure.

a b c (Å): 5.8703 6.9156 7.2746
angles (deg): 105.01 90.00 115.11
With the nearest neighbours (Å) after each atom.
Atoms (fractional coordinates):
Cd1 0.6873 0.3746 0.8440  7 F 2.24-2.39
Cd2 0.3127 0.6254 0.1560  7 F 2.24-2.39
Cd3 0.0000 0.0000 0.5000  6 F 2.15-2.39
Cd4 0.6828 0.3656 0.3439  7 F 2.27-2.42
Cd5 0.3172 0.6344 0.6561  7 F 2.27-2.42
F1 0.4966 0.9933 0.1955  2 Li 2.15, 2 Cd 2.24-2.27
F2 0.4077 0.3135 0.5731  4 Cd 2.31-2.42
F3 0.0889 0.6609 0.9078  1 Li 2.04, 1 Cd 2.28
F4 0.5923 0.6865 0.4269  4 Cd 2.31-2.42
F5 0.9111 0.3391 0.0922  1 Li 2.04, 1 Cd 2.28
F6 0.4280 0.3391 0.0922  1 Li 2.04, 1 Cd 2.28
F7 0.9955 0.9910 0.2018  2 Li 1.99, 1 Cd 2.15
F8 0.5034 0.0067 0.8045  2 Li 2.15, 2 Cd 2.24-2.27
F9 0.0943 0.6865 0.4269  4 Cd 2.31-2.42
F10 0.0045 0.0090 0.7982  2 Li 1.99, 1 Cd 2.15
F11 0.9057 0.3135 0.5731  4 Cd 2.31-2.42
F12 0.5720 0.6609 0.9078  1 Li 2.04, 1 Cd 2.28
Li1 0.2264 0.0000 0.0000  6 F 1.99-2.15
Li2 0.7736 0.0000 0.0000  6 F 1.99-2.15

Results
Total energy: -75.25 eV per formula unit